No. 1
Entry from Alexandria: crystalline Sc2MnRe at its relaxed geometry (PBEsol).

DOS(E_F) ... 1.092 states/eV/atom
Crystal system ... orthorhombic
Energy of formation from the pure elements ... 0.22 eV per atom
Electronic total energy ... -35.41 eV for the cell shown
Space-group type ... Immm

Lattice parameters (Å, degrees): 3.150 4.590 5.110 116.69 107.95 90.00
Element x y z (fractional)
Re  0.000  0.500  0.000
Sc  0.236  0.236  0.473
Sc  0.764  0.764  0.527
Mn  0.500  0.000  0.000


No. 2
Entry from Alexandria: crystalline ReIr2Pt at its relaxed geometry (PBEsol).

DOS(E_F) ... 0.864 states/eV/atom
Crystal system ... monoclinic
Energy of formation from the pure elements ... -0.08 eV per atom
Electronic total energy ... -40.27 eV for the cell shown
Space-group type ... C2/m
Excess energy over the best structure of this formula in the dataset ... 1.17 kcal/mol of atoms

Lattice parameters (Å, degrees): 2.714 4.725 4.734 99.30 106.66 90.00
Element x y z (fractional)
Ir  0.255  0.258  0.510
Ir  0.745  0.742  0.490
Pt  0.500  0.000  0.000
Re  0.000  0.500  0.000